--- one ---
Computed, not measured: a relaxed structure of KMg6FeO8 at the GGA+U level of DFT.

Properties
As for the crystal system: tetragonal. Its calculated volume is 10.72 Å³/atom. For the density of states at the Fermi level, the calculation gives 0.579 states/eV/f.u. The symmetry is No. 123. For the calculated density, the calculation gives 3.57 g/cm³.

```
KMg6FeO8
1.0
4.4725 0.0000 0.0000
0.0000 4.4725 0.0000
0.0000 0.0000 8.5772
K Mg Fe O
1 6 1 8
direct
0.0000 0.0000 0.0000 K
0.0000 0.5000 0.2521 Mg
0.0000 0.5000 0.7479 Mg
0.5000 0.0000 0.2521 Mg
0.5000 0.0000 0.7479 Mg
0.5000 0.5000 0.0000 Mg
0.5000 0.5000 0.5000 Mg
0.0000 0.0000 0.5000 Fe
0.0000 0.0000 0.2799 O
0.0000 0.0000 0.7201 O
0.0000 0.5000 0.0000 O
0.0000 0.5000 0.5000 O
0.5000 0.0000 0.0000 O
0.5000 0.0000 0.5000 O
0.5000 0.5000 0.2514 O
0.5000 0.5000 0.7486 O
```



--- two ---
Computed, not measured: a relaxed structure of KMg6FeO8 at the GGA+U level of DFT.

Properties
As for the crystal system: tetragonal. Its calculated volume is 10.66 Å³/atom. For the density of states at the Fermi level, the calculation gives 0.416 states/eV/f.u. The symmetry is No. 123. For the calculated density, the calculation gives 3.59 g/cm³.

```
KMg6FeO8
1.0
4.4064 0.0000 0.0000
0.0000 4.4064 0.0000
0.0000 0.0000 8.7840
K Mg Fe O
1 6 1 8
direct
0.0000 0.0000 0.0000 K
0.0000 0.0000 0.5000 Mg
0.0000 0.5000 0.2576 Mg
0.0000 0.5000 0.7424 Mg
0.5000 0.0000 0.2576 Mg
0.5000 0.0000 0.7424 Mg
0.5000 0.5000 0.5000 Mg
0.5000 0.5000 0.0000 Fe
0.0000 0.0000 0.2757 O
0.0000 0.0000 0.7243 O
0.0000 0.5000 0.0000 O
0.0000 0.5000 0.5000 O
0.5000 0.0000 0.0000 O
0.5000 0.0000 0.5000 O
0.5000 0.5000 0.2431 O
0.5000 0.5000 0.7569 O
```



In order of decreasing stability: two, one.